1.
Compound: CaSc2Se
Source: Alexandria
Functional: meta-GGA SCAN
Structure: single point on PBEsol structure

Summary:
Its space group is Imm2 (44). As for the raw formation energy: -12.4 kcal/mol of atoms. As for the density of states at the Fermi level: 3.9 states/eV/cell.

Cell lengths 6.1746, 6.1746, 6.1746 Å; angles 146.85, 132.62, 59.05 degrees
Atoms (fractional coordinates):
Ca (0.0000, 0.0000, 0.0000)
Sc (0.3001, 0.8001, 0.5000)
Sc (0.5917, 0.5917, 0.0000)
Se (0.7808, 0.2808, 0.5000)



2.
Compound: Zr2ScRh
Source: Alexandria
Functional: meta-GGA SCAN
Structure: single point on PBEsol structure

Summary:
Its space group is P2/m (10). For the formation energy, the calculation gives -0.35 eV per atom. As for the density of states at the Fermi level: 3.7 states/eV/cell.

Cell lengths 3.1233, 4.5447, 5.6237 Å; angles 90.00, 105.81, 90.00 degrees
Atoms (fractional coordinates):
Zr (0.0655, 0.0000, 0.2691)
Zr (0.9345, 0.0000, 0.7309)
Sc (0.5000, 0.5000, 0.0000)
Rh (0.5000, 0.5000, 0.5000)



3.
Compound: MoPbSe2Br
Source: Alexandria
Functional: meta-GGA SCAN
Structure: single point on PBEsol structure

Summary:
Its space group is P4/mmm (123). As for the raw formation energy: 0.1 kcal/mol of atoms. As for the density of states at the Fermi level: 3.3 states/eV/cell.

Cell lengths 4.8598, 4.8598, 5.2390 Å; angles 90.00, 90.00, 90.00 degrees
Atoms (fractional coordinates):
Mo (0.0000, 0.0000, 0.0000)
Pb (0.5000, 0.5000, 0.5000)
Se (0.0000, 0.5000, 0.0000)
Se (0.5000, 0.0000, 0.0000)
Br (0.0000, 0.0000, 0.5000)



4.
Compound: NiH2Os
Source: Alexandria
Functional: meta-GGA SCAN
Structure: single point on PBEsol structure

Summary:
Its space group is I-42d (122). As for the energy: -23.3681 eV/atom. As for the density of states at the Fermi level: 4.2 states/eV/cell.

Cell lengths 4.8125, 4.8125, 4.8125 Å; angles 131.24, 131.24, 71.43 degrees
Atoms (fractional coordinates):
Ni (0.0000, 0.0000, 0.0000)
Ni (0.7500, 0.2500, 0.5000)
H (0.0854, 0.6250, 0.9604)
H (0.3750, 0.3354, 0.4604)
H (0.6646, 0.1250, 0.0396)
H (0.8750, 0.9146, 0.5396)
Os (0.2500, 0.7500, 0.5000)
Os (0.5000, 0.5000, 0.0000)



5.
Compound: CdSi3Br
Source: Alexandria
Functional: meta-GGA SCAN
Structure: single point on PBEsol structure

Summary:
Its space group is Pm-3m (221). As for the raw formation energy: 31.3 kcal/mol of atoms. As for the density of states at the Fermi level: 5.1 states/eV/cell.

Cell lengths 5.0356, 5.0356, 5.0356 Å; angles 90.00, 90.00, 90.00 degrees
Atoms (fractional coordinates):
Cd (0.0000, 0.0000, 0.0000)
Si (0.0000, 0.0000, 0.5000)
Si (0.0000, 0.5000, 0.0000)
Si (0.5000, 0.0000, 0.0000)
Br (0.5000, 0.5000, 0.5000)



6.
Compound: NiAs2PdSe
Source: Alexandria
Functional: meta-GGA SCAN
Structure: single point on PBEsol structure

Summary:
Its space group is P4/mmm (123). As for the raw formation energy: 11.1 kcal/mol of atoms. As for the density of states at the Fermi level: 3.3 states/eV/cell.

Cell lengths 4.4396, 4.4396, 4.7242 Å; angles 90.00, 90.00, 90.00 degrees
Atoms (fractional coordinates):
Ni (0.0000, 0.0000, 0.0000)
As (0.0000, 0.5000, 0.0000)
As (0.5000, 0.0000, 0.0000)
Pd (0.5000, 0.5000, 0.5000)
Se (0.0000, 0.0000, 0.5000)



7.
Compound: GaBRhS2
Source: Alexandria
Functional: meta-GGA SCAN
Structure: single point on PBEsol structure

Summary:
Its space group is P4/mmm (123). As for the raw formation energy: 10.6 kcal/mol of atoms. As for the density of states at the Fermi level: 2.0 states/eV/cell.

Cell lengths 4.7479, 4.7479, 3.8550 Å; angles 90.00, 90.00, 90.00 degrees
Atoms (fractional coordinates):
Ga (0.0000, 0.0000, 0.0000)
B (0.5000, 0.5000, 0.0000)
Rh (0.5000, 0.5000, 0.5000)
S (0.0000, 0.5000, 0.5000)
S (0.5000, 0.0000, 0.5000)



8.
Compound: KNi2As
Source: Alexandria
Functional: meta-GGA SCAN
Structure: single point on PBEsol structure

Summary:
Its space group is Cm (8). For the formation energy, the calculation gives -0.19 eV per atom. As for the density of states at the Fermi level: 2.7 states/eV/cell.

Cell lengths 4.0288, 4.0288, 6.1392 Å; angles 104.00, 104.00, 59.68 degrees
Atoms (fractional coordinates):
K (0.0000, 0.0000, 0.0000)
Ni (0.1353, 0.1353, 0.5319)
Ni (0.4451, 0.4451, 0.4379)
As (0.7832, 0.7832, 0.4608)



9.
Compound: InSe2SF
Source: Alexandria
Functional: meta-GGA SCAN
Structure: single point on PBEsol structure

Summary:
Its space group is P4/mmm (123). As for the raw formation energy: 5.5 kcal/mol of atoms. As for the density of states at the Fermi level: 2.9 states/eV/cell.

Cell lengths 4.2130, 4.2130, 5.7704 Å; angles 90.00, 90.00, 90.00 degrees
Atoms (fractional coordinates):
In (0.0000, 0.0000, 0.0000)
Se (0.0000, 0.5000, 0.5000)
Se (0.5000, 0.0000, 0.5000)
S (0.5000, 0.5000, 0.0000)
F (0.5000, 0.5000, 0.5000)



10.
Compound: ErAgS2
Source: Alexandria
Functional: meta-GGA SCAN
Structure: single point on PBEsol structure

Summary:
Its space group is R-3m (166). As for the raw formation energy: -34.1 kcal/mol of atoms. As for the density of states at the Fermi level: 0.0 states/eV/cell.

Cell lengths 6.3662, 6.3662, 6.3662 Å; angles 36.02, 36.02, 36.02 degrees
Atoms (fractional coordinates):
Er (0.0000, 0.0000, 0.0000)
Ag (0.5000, 0.5000, 0.5000)
S (0.2519, 0.2519, 0.2519)
S (0.7481, 0.7481, 0.7481)



11.
Compound: Li2MnOF3
Source: Alexandria
Functional: meta-GGA SCAN
Structure: single point on PBEsol structure

Summary:
Its space group is Pc (7). As for the raw formation energy: -63.5 kcal/mol of atoms. As for the density of states at the Fermi level: 4.4 states/eV/cell.

Cell lengths 3.0008, 5.0943, 9.2363 Å; angles 90.00, 90.51, 90.00 degrees
Atoms (fractional coordinates):
Li (0.0000, 0.2220, 0.0000)
Li (0.0000, 0.7780, 0.5000)
Li (0.0109, 0.2274, 0.3669)
Li (0.0109, 0.7726, 0.8669)
Mn (0.5013, 0.2634, 0.6923)
Mn (0.5013, 0.7366, 0.1923)
O (0.0000, 0.1412, 0.7897)
O (0.0000, 0.8588, 0.2897)
F (0.0092, 0.4268, 0.5537)
F (0.0092, 0.5732, 0.0537)
F (0.5011, 0.0127, 0.0364)
F (0.5011, 0.9873, 0.5364)
F (0.5083, 0.3889, 0.2875)
F (0.5083, 0.6111, 0.7875)



12.
Compound: Re2HgMo
Source: Alexandria
Functional: meta-GGA SCAN
Structure: single point on PBEsol structure

Summary:
Its space group is P4/mmm (123). For the formation energy, the calculation gives 0.59 eV per atom. As for the density of states at the Fermi level: 2.5 states/eV/cell.

Cell lengths 2.8099, 2.8099, 8.1014 Å; angles 90.00, 90.00, 90.00 degrees
Atoms (fractional coordinates):
Re (0.0000, 0.0000, 0.2287)
Re (0.0000, 0.0000, 0.7713)
Hg (0.5000, 0.5000, 0.5000)
Mo (0.5000, 0.5000, 0.0000)



13.
Compound: Ba2Li2Cd
Source: Alexandria
Functional: meta-GGA SCAN
Structure: single point on PBEsol structure

Summary:
Its space group is I4/mmm (139). For the formation energy, the calculation gives -0.11 eV per atom. As for the density of states at the Fermi level: 3.2 states/eV/cell.

Cell lengths 10.8011, 10.8011, 10.8011 Å; angles 157.95, 157.95, 31.38 degrees
Atoms (fractional coordinates):
Ba (0.0969, 0.0969, 0.0000)
Ba (0.9031, 0.9031, 0.0000)
Li (0.2500, 0.7500, 0.5000)
Li (0.7500, 0.2500, 0.5000)
Cd (0.5000, 0.5000, 0.0000)



14.
Compound: YH3I
Source: Alexandria
Functional: meta-GGA SCAN
Structure: single point on PBEsol structure

Summary:
Its space group is Pm-3m (221). As for the energy: -15.1617 eV/atom. As for the density of states at the Fermi level: 2.2 states/eV/cell.

Cell lengths 4.1643, 4.1643, 4.1643 Å; angles 90.00, 90.00, 90.00 degrees
Atoms (fractional coordinates):
Y (0.0000, 0.0000, 0.0000)
H (0.0000, 0.0000, 0.5000)
H (0.0000, 0.5000, 0.0000)
H (0.5000, 0.0000, 0.0000)
I (0.5000, 0.5000, 0.5000)



15.
Compound: TaHg2Sb
Source: Alexandria
Functional: meta-GGA SCAN
Structure: single point on PBEsol structure

Summary:
Its space group is Cmm2 (35). As for the raw formation energy: 5.1 kcal/mol of atoms. As for the density of states at the Fermi level: 1.7 states/eV/cell.

Cell lengths 2.9850, 2.9850, 10.4768 Å; angles 90.00, 90.00, 102.58 degrees
Atoms (fractional coordinates):
Ta (0.0000, 0.0000, 0.0000)
Hg (0.0000, 0.0000, 0.4740)
Hg (0.5000, 0.5000, 0.2082)
Sb (0.5000, 0.5000, 0.7925)



16.
Compound: Rb2Be2Si2O7
Source: Alexandria
Functional: meta-GGA SCAN
Structure: single point on PBEsol structure

Summary:
Its space group is Pnn2 (34). As for the raw formation energy: -65.5 kcal/mol of atoms. As for the density of states at the Fermi level: 0.0 states/eV/cell.

Cell lengths 5.1487, 8.2914, 8.9223 Å; angles 90.00, 90.00, 90.00 degrees
Atoms (fractional coordinates):
Rb (0.0000, 0.0000, 0.0000)
Rb (0.0000, 0.5000, 0.0498)
Rb (0.5000, 0.0000, 0.5498)
Rb (0.5000, 0.5000, 0.5000)
Be (0.0034, 0.2448, 0.3636)
Be (0.4966, 0.7448, 0.8636)
Be (0.5034, 0.2552, 0.8636)
Be (0.9966, 0.7552, 0.3636)
Si (0.0030, 0.3011, 0.6948)
Si (0.4970, 0.8011, 0.1948)
Si (0.5030, 0.1989, 0.1948)
Si (0.9970, 0.6989, 0.6948)
O (0.0000, 0.5000, 0.6859)
O (0.0816, 0.2363, 0.5292)
O (0.2136, 0.2569, 0.2423)
O (0.2159, 0.2474, 0.8193)
O (0.2841, 0.7474, 0.3193)
O (0.2864, 0.7569, 0.7423)
O (0.4184, 0.7363, 0.0292)
O (0.5000, 0.0000, 0.1859)
O (0.5816, 0.2637, 0.0292)
O (0.7136, 0.2431, 0.7423)
O (0.7159, 0.2526, 0.3193)
O (0.7841, 0.7526, 0.8193)
O (0.7864, 0.7431, 0.2423)
O (0.9184, 0.7637, 0.5292)



17.
Compound: Fe3PbC
Source: Alexandria
Functional: meta-GGA SCAN
Structure: single point on PBEsol structure

Summary:
Its space group is Pm-3m (221). For the formation energy, the calculation gives 0.58 eV per atom. As for the density of states at the Fermi level: 2.7 states/eV/cell.

Cell lengths 3.8295, 3.8295, 3.8295 Å; angles 90.00, 90.00, 90.00 degrees
Atoms (fractional coordinates):
Fe (0.0000, 0.0000, 0.5000)
Fe (0.0000, 0.5000, 0.0000)
Fe (0.5000, 0.0000, 0.0000)
Pb (0.5000, 0.5000, 0.5000)
C (0.0000, 0.0000, 0.0000)



18.
Compound: YZn2SnAu
Source: Alexandria
Functional: meta-GGA SCAN
Structure: single point on PBEsol structure

Summary:
Its space group is P4/mmm (123). For the formation energy, the calculation gives -0.18 eV per atom. As for the density of states at the Fermi level: 2.3 states/eV/cell.

Cell lengths 4.7677, 4.7677, 5.4189 Å; angles 90.00, 90.00, 90.00 degrees
Atoms (fractional coordinates):
Y (0.0000, 0.0000, 0.0000)
Zn (0.0000, 0.5000, 0.5000)
Zn (0.5000, 0.0000, 0.5000)
Sn (0.5000, 0.5000, 0.0000)
Au (0.0000, 0.0000, 0.5000)



19.
Compound: OsRu3
Source: Alexandria
Functional: meta-GGA SCAN
Structure: single point on PBEsol structure

Summary:
Its space group is Cmmm (65). For the formation energy, the calculation gives 0.13 eV per atom. As for the density of states at the Fermi level: 3.9 states/eV/cell.

Cell lengths 4.6340, 4.6340, 2.6693 Å; angles 90.00, 90.00, 109.54 degrees
Atoms (fractional coordinates):
Os (0.0000, 0.0000, 0.0000)
Ru (0.0000, 0.5000, 0.5000)
Ru (0.5000, 0.0000, 0.5000)
Ru (0.5000, 0.5000, 0.0000)



20.
Compound: TiAlRu2Rh
Source: Alexandria
Functional: meta-GGA SCAN
Structure: single point on PBEsol structure

Summary:
Its space group is P4/mmm (123). For the formation energy, the calculation gives 0.98 eV per atom. As for the density of states at the Fermi level: 4.1 states/eV/cell.

Cell lengths 4.2649, 4.2649, 4.4932 Å; angles 90.00, 90.00, 90.00 degrees
Atoms (fractional coordinates):
Ti (0.0000, 0.0000, 0.0000)
Al (0.0000, 0.0000, 0.5000)
Ru (0.0000, 0.5000, 0.5000)
Ru (0.5000, 0.0000, 0.5000)
Rh (0.5000, 0.5000, 0.0000)



21.
Compound: RhSeBr2
Source: Alexandria
Functional: meta-GGA SCAN
Structure: single point on PBEsol structure

Summary:
Its space group is R-3m (166). As for the raw formation energy: 10.7 kcal/mol of atoms. As for the density of states at the Fermi level: 4.1 states/eV/cell.

Cell lengths 11.6468, 11.6468, 11.6468 Å; angles 14.42, 14.42, 14.42 degrees
Atoms (fractional coordinates):
Rh (0.0000, 0.0000, 0.0000)
Se (0.5000, 0.5000, 0.5000)
Br (0.0679, 0.0679, 0.0679)
Br (0.9321, 0.9321, 0.9321)



22.
Compound: CaLa2FeO6
Source: Alexandria
Functional: meta-GGA SCAN
Structure: single point on PBEsol structure

Summary:
Its space group is P-1 (2). As for the raw formation energy: -69.3 kcal/mol of atoms.

Cell lengths 5.4556, 5.6219, 5.6667 Å; angles 116.31, 90.10, 118.83 degrees
Atoms (fractional coordinates):
Ca (0.0000, 0.0000, 0.0000)
La (0.2420, 0.4822, 0.7284)
La (0.7580, 0.5178, 0.2716)
Fe (0.5000, 0.0000, 0.5000)
O (0.2010, 0.8732, 0.6552)
O (0.2611, 0.5203, 0.1470)
O (0.3307, 0.1282, 0.3431)
O (0.6693, 0.8718, 0.6569)
O (0.7389, 0.4797, 0.8530)
O (0.7990, 0.1268, 0.3448)



23.
Compound: Fe2PbAu
Source: Alexandria
Functional: meta-GGA SCAN
Structure: single point on PBEsol structure

Summary:
Its space group is F-43m (216). For the formation energy, the calculation gives 0.36 eV per atom. As for the density of states at the Fermi level: 1.3 states/eV/cell.

Cell lengths 4.5257, 4.5257, 4.5257 Å; angles 60.00, 60.00, 60.00 degrees
Atoms (fractional coordinates):
Fe (0.0000, 0.0000, 0.0000)
Fe (0.2500, 0.2500, 0.2500)
Pb (0.5000, 0.5000, 0.5000)
Au (0.7500, 0.7500, 0.7500)



24.
Compound: PSN2
Source: Alexandria
Functional: meta-GGA SCAN
Structure: single point on PBEsol structure

Summary:
Its space group is R-3m (166). As for the raw formation energy: 29.9 kcal/mol of atoms. As for the density of states at the Fermi level: 0.7 states/eV/cell.

Cell lengths 6.1370, 6.1370, 6.1370 Å; angles 26.86, 26.86, 26.86 degrees
Atoms (fractional coordinates):
P (0.0000, 0.0000, 0.0000)
S (0.5000, 0.5000, 0.5000)
N (0.1055, 0.1055, 0.1055)
N (0.8945, 0.8945, 0.8945)



25.
Compound: Rb2PuO4
Source: Alexandria
Functional: meta-GGA SCAN
Structure: single point on PBEsol structure

Summary:
Its space group is I4/mmm (139). As for the raw formation energy: -57.0 kcal/mol of atoms. As for the density of states at the Fermi level: 3.3 states/eV/cell.

Cell lengths 7.5386, 7.5386, 7.5386 Å; angles 146.95, 146.95, 47.44 degrees
Atoms (fractional coordinates):
Rb (0.1511, 0.1511, 0.0000)
Rb (0.8489, 0.8489, 0.0000)
Pu (0.5000, 0.5000, 0.0000)
O (0.0000, 0.5000, 0.5000)
O (0.3617, 0.3617, 0.0000)
O (0.5000, 0.0000, 0.5000)
O (0.6383, 0.6383, 0.0000)



26.
Compound: TbAl4Ni
Source: Alexandria
Functional: meta-GGA SCAN
Structure: single point on PBEsol structure

Summary:
Its space group is Cmcm (63). For the formation energy, the calculation gives -0.61 eV per atom. As for the density of states at the Fermi level: 4.1 states/eV/cell.

Cell lengths 7.9276, 7.9276, 6.5322 Å; angles 90.00, 90.00, 150.47 degrees
Atoms (fractional coordinates):
Tb (0.1171, 0.8829, 0.7500)
Tb (0.8829, 0.1171, 0.2500)
Al (0.0764, 0.9236, 0.2500)
Al (0.3109, 0.6891, 0.5521)
Al (0.3109, 0.6891, 0.9479)
Al (0.5000, 0.5000, 0.0000)
Al (0.5000, 0.5000, 0.5000)
Al (0.6891, 0.3109, 0.0521)
Al (0.6891, 0.3109, 0.4479)
Al (0.9236, 0.0764, 0.7500)
Ni (0.2260, 0.7740, 0.2500)
Ni (0.7740, 0.2260, 0.7500)



27.
Compound: BaZrHg
Source: Alexandria
Functional: meta-GGA SCAN
Structure: single point on PBEsol structure

Summary:
Its space group is P3m1 (156). For the formation energy, the calculation gives 0.21 eV per atom. As for the density of states at the Fermi level: 3.2 states/eV/cell.

Cell lengths 3.5439, 3.5439, 7.9352 Å; angles 90.00, 90.00, 120.00 degrees
Atoms (fractional coordinates):
Ba (0.0000, 0.0000, 0.0000)
Zr (0.6667, 0.3333, 0.3766)
Hg (0.3333, 0.6667, 0.6478)